A plane-wave DFT calculation with GGA+U was carried out for a relaxed structure of Ta2CrNO5.

```
Ta2CrNO5
1.0
4.7689 0.0000 0.0010
0.0000 4.7734 0.0000
0.0392 0.0000 9.2264
O N Ta Cr
10 2 4 2
Cartesian
3.8495 2.6227 1.5527
1.5030 2.1424 9.1894
3.8678 2.6309 4.5767
0.9516 4.4810 4.5985
1.4846 2.1507 6.1654
1.4644 2.1230 3.0309
3.3642 0.2758 6.1578
0.9602 4.4975 1.5441
3.8684 2.6504 7.6446
3.3556 0.2924 9.2122
0.9801 4.5293 7.6708
3.3450 0.2441 3.0581
2.3332 1.1678 7.7013
2.4182 1.1368 1.6336
4.6980 3.6056 3.0886
0.0533 3.6366 6.2463
2.4074 1.1940 4.6008
0.0425 3.5794 9.2135
```

Properties
Total magnetic moment   5.993 μB per cell
Fermi-level density of states   0.0000 states/eV/atom
Excess energy over the best structure of this formula in the dataset   6 meV/atom
Crystal system   monoclinic